[1]
Density functional theory data (PBE) for a relaxed structure of TbClO.

## Properties
Calculated volume   261 Å³/cell
Symmetry   C2/m
Calculated total energy   -0.2520 hartree per atom
Magnetic moment   0.00 μB/f.u.

a b c (Å): 8.979 8.979 7.586
angles (deg): 94.02 94.02 25.33
Sites, in units of the cell vectors:
Cl1 0.573 0.573 0.341
Tb1 0.685 0.685 0.112
Tb2 0.315 0.315 0.888
Tb3 0.684 0.684 0.615
O1 0.755 0.755 0.380
Tb4 0.316 0.316 0.385
O2 0.245 0.245 0.620
Cl2 0.427 0.427 0.659
Cl3 0.102 0.102 0.851
O3 0.244 0.244 0.128
Cl4 0.898 0.898 0.149
O4 0.756 0.756 0.872

=====

[2]
Density functional theory data (PBE) for a relaxed structure of LaReNO.

## Properties
Calculated volume   111 Å³/cell
Symmetry   Pmc2_1
Polymorph energy (0 for the lowest one)   0.124 eV per atom
Magnetic moment   0.00 μB/f.u.

a b c (Å): 3.871 5.236 5.496
angles (deg): 90.00 90.00 90.00
Sites, in units of the cell vectors:
Re1 0.500 0.002 0.325
La1 0.000 0.001 0.792
Re2 0.500 0.502 0.675
N1 0.000 0.002 0.323
O1 0.500 0.249 0.999
N2 0.000 0.502 0.677
O2 0.500 0.749 0.001
La2 0.000 0.501 0.208

=====

[3]
Density functional theory data (PBE) for a relaxed structure of CsNiH2.

## Properties
Calculated volume   69 Å³/cell
Symmetry   P4/mmm
Calculated total energy   -0.0849 hartree per atom
Magnetic moment   0.91 μB/f.u.

a b c (Å): 3.596 3.596 5.305
angles (deg): 90.00 90.00 90.00
Last column: magnetic moment on the atom in μB.
Sites, in units of the cell vectors:
H1 0.000 0.000 0.500  0.06
Ni1 0.000 0.000 0.000  0.78
Cs1 0.500 0.500 0.500  0.03
H2 0.500 0.500 0.000  0.01

=====

[4]
Density functional theory data (PBE) for a relaxed structure of NbSiIr.

## Properties
Calculated volume   91 Å³/cell
Symmetry   P6_3/mmc
Calculated total energy   -0.3201 hartree per atom
Magnetic moment   0.00 μB/f.u.

a b c (Å): 4.347 4.347 5.531
angles (deg): 90.00 90.00 120.00
Sites, in units of the cell vectors:
Nb1 0.000 0.000 0.500
Ir1 0.333 0.667 0.750
Ir2 0.667 0.333 0.250
Nb2 0.000 0.000 0.000
Si1 0.333 0.667 0.250
Si2 0.667 0.333 0.750

=====

[5]
Density functional theory data (PBE) for a relaxed structure of ScCoGeAu.

## Properties
Calculated volume   64 Å³/cell
Symmetry   F-43m
Polymorph energy (0 for the lowest one)   0.031 eV per atom
Magnetic moment   1.05 μB/f.u.

a b c (Å): 4.490 4.490 4.490
angles (deg): 60.00 60.00 60.00
Last column: magnetic moment on the atom in μB.
Sites, in units of the cell vectors:
Sc1 0.500 0.500 0.500  -0.07
Ge1 0.000 0.000 0.000  0.04
Au1 0.250 0.250 0.250  0.04
Co1 0.750 0.750 0.750  1.05

=====

[6]
Density functional theory data (PBE) for a relaxed structure of NbIn2AgS4.

## Properties
Calculated volume   448 Å³/cell
Symmetry   Fddd
Calculated total energy   -0.1791 hartree per atom
Magnetic moment   0.00 μB/f.u.

a b c (Å): 12.932 11.370 7.465
angles (deg): 83.99 60.97 35.04
Sites, in units of the cell vectors:
S1 0.047 0.825 0.757
S2 0.757 0.370 0.047
S3 0.880 0.493 0.425
S4 0.370 0.757 0.825
S5 0.825 0.047 0.370
In1 0.171 0.171 0.829
In2 0.829 0.829 0.171
Ag1 0.750 0.750 0.750
In3 0.421 0.421 0.079
Ag2 0.500 0.500 0.500
S6 0.203 0.425 0.493
S7 0.425 0.203 0.880
Nb1 0.000 0.000 0.000
In4 0.079 0.079 0.421
Nb2 0.250 0.250 0.250
S8 0.493 0.880 0.203